[1]
VASP calculation (PBE) on a geometry-optimized Rb2Y2Be structure.

size of the total moment	0.00	μB per formula unit
ΔE_f	327	kJ/mol of formula units
Fermi-level density of states	1.08	states/eV/atom
VASP energy	-3.04	eV/atom

a b c (Å): 7.501 7.501 7.305
angles (deg): 90.00 90.00 90.00
Space group P4/mbm (No. 127)
Symmetry-distinct sites (fractional):
Rb1 0.190 0.310 0.000 (multiplicity 4)
Y1 0.172 0.672 0.500 (multiplicity 4)
Be1 0.000 0.000 0.500 (multiplicity 2)


[2]
VASP calculation (PBE) on a geometry-optimized RbY2BeZn structure.

size of the total moment	0.00	μB per formula unit
ΔE_f	873	kJ/mol of formula units
Fermi-level density of states	1.04	states/eV/atom
VASP energy	-1.97	eV/atom

a b c (Å): 5.552 5.552 5.149
angles (deg): 90.00 90.00 90.00
Space group P4/mmm (No. 123)
Symmetry-distinct sites (fractional):
Rb1 0.000 0.000 0.000 (multiplicity 1)
Y1 0.000 0.500 0.000 (multiplicity 2)
Be1 0.500 0.500 0.500 (multiplicity 1)
Zn1 0.000 0.000 0.500 (multiplicity 1)


[3]
VASP calculation (PBE) on a geometry-optimized RbYZrBe2 structure.

size of the total moment	0.00	μB per formula unit
ΔE_f	668	kJ/mol of formula units
Fermi-level density of states	0.62	states/eV/atom
VASP energy	-3.30	eV/atom

a b c (Å): 4.914 4.914 5.174
angles (deg): 90.00 90.00 90.00
Space group P4/mmm (No. 123)
Symmetry-distinct sites (fractional):
Rb1 0.000 0.000 0.000 (multiplicity 1)
Y1 0.500 0.500 0.000 (multiplicity 1)
Zr1 0.000 0.000 0.500 (multiplicity 1)
Be1 0.000 0.500 0.500 (multiplicity 2)


[4]
VASP calculation (PBE) on a geometry-optimized Rb2ZrBe structure.

size of the total moment	3.74	μB per formula unit
ΔE_f	637	kJ/mol of formula units
Fermi-level density of states	8.91	states/eV/atom
VASP energy	-1.90	eV/atom

a b c (Å): 8.682 8.682 8.682
angles (deg): 90.00 90.00 90.00
Space group Fm-3m (No. 225)
Symmetry-distinct sites (fractional):
Rb1 0.250 0.250 0.250 (multiplicity 8)
Zr1 0.000 0.000 0.000 (multiplicity 4)
Be1 0.000 0.000 0.500 (multiplicity 4)


Q: Among the records above, which one has the lowest ΔE_f?
A: Rb2Y2Be


Q: Among the records above, which one has the highest VASP energy?
A: Rb2ZrBe


Q: Among the records above, which one has the highest ΔE_f?
A: RbY2BeZn